No. 1
Density functional theory data (PBE) for a relaxed structure of Dy3Co.

Output
Total DFT energy (no corrections) (eV for the cell shown): -169.84

Lattice parameters (Å, degrees): 6.2733 11.3344 11.3344 90.00 90.00 90.00
Fractional coordinates of all 32 atoms:
Dy 0.0604 0.4177 0.1385
Dy 0.9419 0.8434 0.7160
Dy 0.4396 0.0823 0.3615
Dy 0.0581 0.2840 0.8434
Dy 0.7763 0.5624 0.3707
Dy 0.2237 0.3707 0.4376
Dy 0.5604 0.3615 0.9177
Dy 0.4396 0.9177 0.6385
Dy 0.7237 0.9376 0.1293
Dy 0.2237 0.6293 0.5624
Dy 0.5581 0.6566 0.7840
Dy 0.7237 0.0624 0.8707
Dy 0.9419 0.1566 0.2840
Dy 0.0581 0.7160 0.1566
Dy 0.2763 0.8707 0.9376
Dy 0.4419 0.7840 0.3434
Dy 0.5581 0.3434 0.2160
Dy 0.2763 0.1293 0.0624
Dy 0.9396 0.1385 0.5823
Dy 0.0604 0.5823 0.8615
Dy 0.7763 0.4376 0.6293
Dy 0.9396 0.8615 0.4177
Dy 0.4419 0.2160 0.6566
Dy 0.5604 0.6385 0.0823
Co 0.7503 0.3097 0.4275
Co 0.2497 0.4275 0.6903
Co 0.2503 0.0725 0.8097
Co 0.7497 0.1903 0.0725
Co 0.2497 0.5725 0.3097
Co 0.7497 0.8097 0.9275
Co 0.7503 0.6903 0.5725
Co 0.2503 0.9275 0.1903

***

No. 2
Density functional theory data (PBE) for a relaxed structure of Dy7Co3.

Output
Total DFT energy (no corrections) (eV for the cell shown): -110.31

Lattice parameters (Å, degrees): 6.1111 9.5690 9.5690 120.00 90.00 90.00
Fractional coordinates of all 20 atoms:
Dy 0.4407 0.1239 0.2478
Dy 0.6196 0.5414 0.0827
Dy 0.1196 0.0827 0.5414
Dy 0.9407 0.8761 0.1239
Dy 0.6196 0.5414 0.4586
Dy 0.9407 0.2478 0.1239
Dy 0.6196 0.9173 0.4586
Dy 0.1495 0.6667 0.3333
Dy 0.9407 0.8761 0.7522
Dy 0.1196 0.4586 0.5414
Dy 0.1196 0.4586 0.9173
Dy 0.6495 0.3333 0.6667
Dy 0.4407 0.7522 0.8761
Dy 0.4407 0.1239 0.8761
Co 0.8592 0.1896 0.3792
Co 0.8592 0.6208 0.8104
Co 0.3592 0.8104 0.6208
Co 0.8592 0.1896 0.8104
Co 0.3592 0.8104 0.1896
Co 0.3592 0.3792 0.1896

***

No. 3
Density functional theory data (PBE) for a relaxed structure of Dy3Co.

Output
Total DFT energy (no corrections) (eV for the cell shown): -86.25

Lattice parameters (Å, degrees): 6.2173 6.9349 9.4372 90.00 90.00 90.00
Fractional coordinates of all 16 atoms:
Dy 0.8234 0.8254 0.9319
Dy 0.8234 0.8254 0.5681
Dy 0.3234 0.6746 0.4319
Dy 0.1766 0.1746 0.4319
Dy 0.8572 0.5430 0.2500
Dy 0.3234 0.6746 0.0681
Dy 0.6766 0.3254 0.5681
Dy 0.6766 0.3254 0.9319
Dy 0.6428 0.0430 0.2500
Dy 0.1428 0.4570 0.7500
Dy 0.3572 0.9570 0.7500
Dy 0.1766 0.1746 0.0681
Co 0.9505 0.1132 0.7500
Co 0.5495 0.6132 0.7500
Co 0.0495 0.8868 0.2500
Co 0.4505 0.3868 0.2500

***

No. 4
Density functional theory data (PBE) for a relaxed structure of DyCo6.

Output
Energy above the most stable polymorph in this dataset (eV/atom): 0.583

Lattice parameters (Å, degrees): 5.2135 5.2135 5.2135 109.47 109.47 109.47
Fractional coordinates of all 7 atoms:
Co 0.7500 0.5000 0.2500
Co 0.2500 0.5000 0.7500
Co 0.7500 0.2500 0.5000
Co 0.2500 0.7500 0.5000
Co 0.5000 0.7500 0.2500
Co 0.5000 0.2500 0.7500
Dy 0.0000 0.0000 0.0000

***

No. 5
Density functional theory data (PBE) for a relaxed structure of DyCo2.

Output
Total DFT energy (no corrections) (eV for the cell shown): -18.56

Lattice parameters (Å, degrees): 3.1809 3.1809 5.3729 107.22 107.22 90.00
Fractional coordinates of all 3 atoms:
Dy 0.0000 0.0000 0.0000
Co 0.2963 0.2963 0.5926
Co 0.7037 0.7037 0.4074

***

No. 6
Density functional theory data (PBE) for a relaxed structure of DyCo4.

Output
Energy above the most stable polymorph in this dataset (eV/atom): 1.985

Lattice parameters (Å, degrees): 4.5433 4.5433 4.5433 90.00 90.00 90.00
Fractional coordinates of all 5 atoms:
Dy 0.5000 0.5000 0.5000
Co 0.5000 0.0000 0.5000
Co 0.0000 0.0000 0.0000
Co 0.0000 0.5000 0.5000
Co 0.5000 0.5000 0.0000

***

No. 7
Density functional theory data (PBE) for a relaxed structure of DyCo4.

Output
Energy above the most stable polymorph in this dataset (eV/atom): 0.000

Lattice parameters (Å, degrees): 5.5062 5.5753 5.5753 120.86 90.00 90.00
Fractional coordinates of all 10 atoms:
Co 0.0000 0.7500 0.7500
Co 0.7500 0.3674 0.6326
Co 0.2500 0.6326 0.3674
Co 0.2500 0.8674 0.1326
Co 0.0000 0.2500 0.2500
Co 0.7500 0.1326 0.8674
Co 0.5000 0.7500 0.7500
Co 0.5000 0.2500 0.2500
Dy 0.7500 0.7500 0.2500
Dy 0.2500 0.2500 0.7500

***

No. 8
Density functional theory data (PBE) for a relaxed structure of Dy2Co7.

Output
Total DFT energy (no corrections) (eV for the cell shown): -120.77

Lattice parameters (Å, degrees): 12.4010 12.4010 12.4010 23.05 23.05 23.05
Fractional coordinates of all 18 atoms:
Co 0.5000 0.5000 0.5000
Co 0.6093 0.6093 0.1086
Co 0.5000 0.0000 0.5000
Co 0.3884 0.3884 0.3884
Co 0.1086 0.6093 0.6093
Co 0.6116 0.6116 0.6116
Co 0.6093 0.1086 0.6093
Co 0.7214 0.7214 0.7214
Co 0.5000 0.5000 0.0000
Co 0.0000 0.5000 0.5000
Co 0.8914 0.3907 0.3907
Co 0.2786 0.2786 0.2786
Co 0.3907 0.8914 0.3907
Co 0.3907 0.3907 0.8914
Dy 0.1480 0.1480 0.1480
Dy 0.0514 0.0514 0.0514
Dy 0.8520 0.8520 0.8520
Dy 0.9486 0.9486 0.9486

***

No. 9
Density functional theory data (PBE) for a relaxed structure of DyCo6.

Output
Energy above the most stable polymorph in this dataset (eV/atom): 0.000

Lattice parameters (Å, degrees): 4.8118 7.8144 9.8036 90.00 90.00 90.00
Fractional coordinates of all 28 atoms:
Dy 0.7500 0.2390 0.9408
Dy 0.7500 0.7390 0.5592
Dy 0.2500 0.2610 0.4408
Dy 0.2500 0.7610 0.0592
Co 0.7500 0.6836 0.2560
Co 0.0105 0.9305 0.3081
Co 0.5105 0.0695 0.6919
Co 0.2500 0.0661 0.9085
Co 0.2500 0.6404 0.3532
Co 0.7500 0.3596 0.6468
Co 0.2500 0.3164 0.7440
Co 0.0105 0.4305 0.1919
Co 0.4895 0.9305 0.3081
Co 0.4895 0.4305 0.1919
Co 0.2500 0.8164 0.7560
Co 0.7500 0.1836 0.2440
Co 0.2500 0.9091 0.5227
Co 0.7500 0.8596 0.8532
Co 0.9895 0.5695 0.8081
Co 0.7500 0.5909 0.0227
Co 0.7500 0.0909 0.4773
Co 0.2500 0.1404 0.1468
Co 0.5105 0.5695 0.8081
Co 0.7500 0.4339 0.4085
Co 0.7500 0.9339 0.0915
Co 0.2500 0.4091 0.9773
Co 0.2500 0.5661 0.5915
Co 0.9895 0.0695 0.6919

***

No. 10
Density functional theory data (PBE) for a relaxed structure of Dy3Co2.

Output
Energy above the most stable polymorph in this dataset (eV/atom): 0.028

Lattice parameters (Å, degrees): 4.5906 7.5424 9.9650 91.71 90.00 107.72
Fractional coordinates of all 15 atoms:
Dy 0.4798 0.9596 0.3304
Dy 0.5000 0.0000 0.0000
Dy 0.8338 0.6676 0.9639
Dy 0.5202 0.0404 0.6696
Dy 0.1446 0.2892 0.3672
Dy 0.8554 0.7108 0.6328
Dy 0.1879 0.3758 0.6955
Dy 0.8121 0.6242 0.3045
Dy 0.1662 0.3324 0.0361
Co 0.0073 0.0146 0.8357
Co 0.6741 0.3482 0.5085
Co 0.6450 0.2900 0.1869
Co 0.3550 0.7100 0.8131
Co 0.3259 0.6518 0.4915
Co 0.9927 0.9854 0.1643

***

No. 11
Density functional theory data (PBE) for a relaxed structure of Dy3Co2.

Output
Energy above the most stable polymorph in this dataset (eV/atom): 0.000

Lattice parameters (Å, degrees): 3.8967 3.9106 7.5383 105.03 90.00 90.00
Fractional coordinates of all 5 atoms:
Co 0.5000 0.7018 0.4036
Co 0.5000 0.2982 0.5964
Dy 0.0000 0.8491 0.6981
Dy 0.0000 0.1509 0.3019
Dy 0.5000 0.5000 0.0000

***

No. 12
Density functional theory data (PBE) for a relaxed structure of Dy3Co.

Output
Total DFT energy (no corrections) (eV for the cell shown): -84.82

Lattice parameters (Å, degrees): 6.1373 8.6388 8.6388 82.75 69.19 69.19
Fractional coordinates of all 16 atoms:
Dy 0.3426 0.0000 0.8083
Dy 0.1508 0.0000 0.1917
Dy 0.3915 0.5974 0.9999
Dy 0.8593 0.6409 0.6409
Dy 0.1411 0.3591 0.3591
Dy 0.4998 0.3591 0.6409
Dy 0.6575 0.1917 0.0000
Dy 0.0112 0.0001 0.5974
Dy 0.6087 0.9999 0.4026
Dy 0.4998 0.6409 0.3591
Dy 0.8492 0.8083 0.0000
Dy 0.9887 0.4026 0.0001
Co 0.2914 0.7084 0.7083
Co 0.0003 0.7083 0.2916
Co 0.0002 0.2917 0.7084
Co 0.7081 0.2916 0.2917

***

No. 13
Density functional theory data (PBE) for a relaxed structure of Dy12Co7.

Output
Total DFT energy (no corrections) (eV for the cell shown): -216.81

Lattice parameters (Å, degrees): 11.2491 8.2867 11.0144 54.60 90.00 90.00
Fractional coordinates of all 38 atoms:
Dy 0.0027 0.8412 0.3540
Dy 0.0707 0.2328 0.9144
Dy 0.8404 0.5030 0.6582
Dy 0.2939 0.7652 0.4609
Dy 0.1596 0.4970 0.3418
Dy 0.5027 0.1588 0.1460
Dy 0.6989 0.7520 0.3228
Dy 0.4293 0.2328 0.4144
Dy 0.5701 0.2619 0.8088
Dy 0.2061 0.7652 0.9609
Dy 0.0701 0.7381 0.6912
Dy 0.9299 0.2619 0.3088
Dy 0.4973 0.8412 0.8540
Dy 0.9293 0.7672 0.0856
Dy 0.5707 0.7672 0.5856
Dy 0.3011 0.2480 0.6772
Dy 0.4299 0.7381 0.1912
Dy 0.6596 0.5030 0.1582
Dy 0.3404 0.4970 0.8418
Dy 0.7061 0.2348 0.5391
Dy 0.9973 0.1588 0.6460
Dy 0.7939 0.2348 0.0391
Dy 0.8011 0.7520 0.8228
Dy 0.1989 0.2480 0.1772
Co 0.3198 0.0935 0.9753
Co 0.6864 0.1009 0.3398
Co 0.3136 0.8991 0.6602
Co 0.8999 0.5043 0.3998
Co 0.6001 0.5043 0.8998
Co 0.1001 0.4957 0.6002
Co 0.1864 0.8991 0.1602
Co 0.8198 0.9065 0.5247
Co 0.8136 0.1009 0.8398
Co 0.1802 0.0935 0.4753
Co 0.5000 0.5000 0.5000
Co 0.0000 0.5000 0.0000
Co 0.6802 0.9065 0.0247
Co 0.3999 0.4957 0.1002

***

No. 14
Density functional theory data (PBE) for a relaxed structure of Dy4Co3.

Output
Total DFT energy (no corrections) (eV for the cell shown): -122.82

Lattice parameters (Å, degrees): 11.2733 11.2733 4.0105 90.00 90.00 120.00
Fractional coordinates of all 21 atoms:
Co 0.4382 0.2806 0.2513
Co 0.8425 0.5618 0.2513
Co 0.1575 0.4382 0.7487
Co 0.3333 0.6667 0.7521
Co 0.0000 0.0000 0.5000
Co 0.2806 0.8425 0.7487
Co 0.7194 0.1575 0.2513
Co 0.6667 0.3333 0.2479
Co 0.5618 0.7194 0.7487
Dy 0.1353 0.6204 0.2513
Dy 0.3796 0.5149 0.2513
Dy 0.5149 0.1353 0.7487
Dy 0.2209 0.9737 0.2502
Dy 0.6204 0.4851 0.7487
Dy 0.0263 0.2472 0.2502
Dy 0.2472 0.2209 0.7498
Dy 0.9737 0.7528 0.7498
Dy 0.7528 0.7791 0.2502
Dy 0.7791 0.0263 0.7498
Dy 0.4851 0.8647 0.2513
Dy 0.8647 0.3796 0.7487

***

No. 15
Density functional theory data (PBE) for a relaxed structure of Dy3Co2.

Output
Energy above the most stable polymorph in this dataset (eV/atom): 0.032

Lattice parameters (Å, degrees): 6.6285 6.6285 7.1820 62.52 62.52 60.00
Fractional coordinates of all 10 atoms:
Dy 0.2500 0.6042 0.2500
Dy 0.6042 0.8958 0.2500
Dy 0.1042 0.7500 0.7500
Dy 0.8958 0.2500 0.2500
Dy 0.7500 0.3958 0.7500
Dy 0.3958 0.1042 0.7500
Co 0.6787 0.6787 0.9640
Co 0.8213 0.8213 0.5360
Co 0.1787 0.1787 0.4640
Co 0.3213 0.3213 0.0360

***

No. 16
Density functional theory data (PBE) for a relaxed structure of Dy2Co17.

Output
Total DFT energy (no corrections) (eV for the cell shown): -131.95

Lattice parameters (Å, degrees): 6.2591 6.2591 6.2591 83.01 83.01 83.01
Fractional coordinates of all 19 atoms:
Dy 0.6558 0.6558 0.6558
Dy 0.3442 0.3442 0.3442
Co 0.6541 0.6541 0.1504
Co 0.0000 0.2888 0.7112
Co 0.8496 0.3459 0.3459
Co 0.3459 0.3459 0.8496
Co 0.0000 0.0000 0.5000
Co 0.7112 0.0000 0.2888
Co 0.2888 0.7112 0.0000
Co 0.0966 0.0966 0.0966
Co 0.1504 0.6541 0.6541
Co 0.6541 0.1504 0.6541
Co 0.9034 0.9034 0.9034
Co 0.0000 0.7112 0.2888
Co 0.5000 0.0000 0.0000
Co 0.2888 0.0000 0.7112
Co 0.7112 0.2888 0.0000
Co 0.0000 0.5000 0.0000
Co 0.3459 0.8496 0.3459

***

No. 17
Density functional theory data (PBE) for a relaxed structure of Dy5Co4.

Output
Total DFT energy (no corrections) (eV for the cell shown): -53.08

Lattice parameters (Å, degrees): 3.9412 5.7352 9.3027 73.48 77.77 69.90
Fractional coordinates of all 9 atoms:
Co 0.4052 0.5783 0.6113
Co 0.5420 0.7446 0.1713
Co 0.4580 0.2554 0.8287
Co 0.5948 0.4217 0.3887
Dy 0.2335 0.3528 0.1801
Dy 0.1096 0.1772 0.6037
Dy 0.0000 0.0000 0.0000
Dy 0.8904 0.8228 0.3963
Dy 0.7665 0.6472 0.8199

***

No. 18
Density functional theory data (PBE) for a relaxed structure of Dy3Co.

Output
Total DFT energy (no corrections) (eV for the cell shown): -21.18

Lattice parameters (Å, degrees): 3.5322 5.3003 6.2358 115.15 106.45 90.00
Fractional coordinates of all 4 atoms:
Dy 0.6919 0.1086 0.3837
Dy 0.3081 0.7249 0.6163
Dy 0.5000 0.4168 0.0000
Co 0.0000 0.9165 0.0000